[1]
CsIn8Sn2 | GGA-PBE | relaxed Values from VASP.

## Properties
As for the formation energy from the elements: 0.09 eV/atom. The density of states at the Fermi level is 0.5114 states/eV per atom. The energy above the most stable polymorph in this dataset is 0.0548 eV per atom.

Structure (Quantum ESPRESSO input):
```
&SYSTEM
  ibrav = 0, nat = 11, ntyp = 3
/
ATOMIC_SPECIES
Cs 132.91 Cs.upf
In 114.82 In.upf
Sn 118.71 Sn.upf
ATOMIC_POSITIONS crystal
Cs 0.000 0.000 0.000
In 0.251 0.251 0.301
In 0.251 0.251 0.699
In 0.251 0.749 0.301
In 0.251 0.749 0.699
In 0.749 0.251 0.301
In 0.749 0.251 0.699
In 0.749 0.749 0.301
In 0.749 0.749 0.699
Sn 0.000 0.500 0.500
Sn 0.500 0.000 0.500
CELL_PARAMETERS angstrom
6.204 0.000 0.000
0.000 6.204 0.000
0.000 0.000 11.345
```

---

[2]
CsLiTeAu | GGA-PBE | relaxed Values from VASP.

## Properties
The density of states at the Fermi level is 0.5031 states/eV per atom. For the raw formation energy, the calculation gives -0.61 eV/atom.

Structure (Quantum ESPRESSO input):
```
&SYSTEM
  ibrav = 0, nat = 8, ntyp = 4
/
ATOMIC_SPECIES
Cs 132.91 Cs.upf
Li 6.94 Li.upf
Te 127.60 Te.upf
Au 196.97 Au.upf
ATOMIC_POSITIONS crystal
Cs 0.250 0.250 0.216
Cs 0.750 0.750 0.784
Li 0.250 0.750 0.500
Li 0.750 0.250 0.500
Te 0.250 0.250 0.623
Te 0.750 0.750 0.377
Au 0.250 0.750 0.000
Au 0.750 0.250 0.000
CELL_PARAMETERS angstrom
4.127 0.000 0.000
0.000 4.127 0.000
0.000 0.000 14.718
```

---

> Number 1 is which compound?

CsIn8Sn2

---

> Which formula does entry 1 have?

CsIn8Sn2